Material: Y12Ni6Ag
Method: DFT, PBE
State: relaxed

Cell lengths 8.4206, 8.4206, 8.4206 Å; angles 109.47, 109.47, 109.47 degrees
Last column: nearest neighbours and their distance in Å.
Fractional coordinates of all 19 atoms:
Y (0.1162, 0.8135, 0.3027)  3 Ni 2.67-2.90
Y (0.1865, 0.3027, 0.4891)  3 Ni 2.67-2.90
Y (0.1865, 0.6973, 0.8838)  3 Ni 2.67-2.90
Y (0.3027, 0.1162, 0.8135)  3 Ni 2.67-2.90
Y (0.3027, 0.4891, 0.1865)  3 Ni 2.67-2.90
Y (0.4891, 0.1865, 0.3027)  3 Ni 2.67-2.90
Y (0.5109, 0.8135, 0.6973)  3 Ni 2.67-2.90
Y (0.6973, 0.5109, 0.8135)  3 Ni 2.67-2.90
Y (0.6973, 0.8838, 0.1865)  3 Ni 2.67-2.90
Y (0.8135, 0.3027, 0.1162)  3 Ni 2.67-2.90
Y (0.8135, 0.6973, 0.5109)  3 Ni 2.67-2.90
Y (0.8838, 0.1865, 0.6973)  3 Ni 2.67-2.90
Ni (0.1233, 0.6233, 0.5000)  1 Ni 2.40, 2 Y 2.67
Ni (0.3767, 0.5000, 0.8767)  1 Ni 2.40, 2 Y 2.67
Ni (0.5000, 0.1233, 0.6233)  1 Ni 2.40, 2 Y 2.67
Ni (0.5000, 0.8767, 0.3767)  1 Ni 2.40, 2 Y 2.67
Ni (0.6233, 0.5000, 0.1233)  1 Ni 2.40, 2 Y 2.67
Ni (0.8767, 0.3767, 0.5000)  1 Ni 2.40, 2 Y 2.67
Ag (0.0000, 0.0000, 0.0000)  12 Y 3.46

DFT total energy	-6.36	eV per atom
symmetry	Im-3